Entry 1:
4
Lattice="3.4759 0.0000 0.0000 0.0000 3.4759 0.0000 0.0000 0.0000 6.4560" Properties=species:S:1:pos:R:3 comment="PBE-GGA Hf2AgAu, optimized geometry" e_form_ev_per_fu=-1.34 space_group="P4mm (99)" e_tot_ev_per_atom=-6.84 pbc="T T T"
Hf 0.0000 0.0000 0.0000
Hf 1.7379 1.7379 1.8515
Ag 1.7379 1.7379 4.9119
Au 0.0000 0.0000 3.3285

Entry 2:
6
Lattice="3.5630 0.0000 0.0000 0.0000 3.5630 0.0000 0.0000 0.0000 8.8158" Properties=species:S:1:pos:R:3 comment="PBE-GGA HfAgAu, optimized geometry" e_form_ev_per_fu=-0.90 space_group="P4/mmm (123)" e_tot_ev_per_atom=-5.65 de_polymorph_mev_per_atom=6 pbc="T T T"
Hf 0.0000 0.0000 0.0000
Hf 1.7815 1.7815 4.4079
Ag 0.0000 0.0000 2.9314
Ag 0.0000 0.0000 5.8844
Au 1.7815 1.7815 1.4778
Au 1.7815 1.7815 7.3380

Entry 3:
8
Lattice="4.5382 0.0000 0.0000 0.0000 1.6084 8.6004 0.0000 -1.6084 8.6004" Properties=species:S:1:pos:R:3 comment="PBE-GGA Hf4AgAuN2, optimized geometry" space_group="Amm2 (38)" e_tot_ev_per_atom=-8.90 pbc="T T T"
Hf 0.0000 0.0000 0.0000
Hf 0.0000 0.0000 3.0737
Hf 2.2691 0.0000 6.8276
Hf 2.2691 0.0000 9.9143
Ag 0.0000 0.0000 14.3449
Au 2.2691 0.0000 12.7661
N 0.0000 0.0000 10.1370
N 2.2691 0.0000 16.9612

Entry 4:
5
Lattice="-2.0459 2.0459 6.4206 2.0459 -2.0459 6.4206 2.0459 2.0459 -6.4206" Properties=species:S:1:pos:R:3 comment="PBE-GGA AgHg2Au2, optimized geometry" e_form_ev_per_fu=1.09 space_group="I4/mmm (139)" e_tot_ev_per_atom=-1.77 de_polymorph_mev_per_atom=0 pbc="T T T"
Ag 0.0000 0.0000 0.0000
Hg 0.0000 0.0000 5.1157
Hg 0.0000 0.0000 7.7255
Au 2.0459 0.0000 3.2103
Au 0.0000 2.0459 3.2103